(1)
{
  "formula": "NaAg8Pb3",
  "functional": "PBE",
  "state": "optimized geometry",
  "lattice_angstrom": [[-4.984, -2.790, -0.275], [-2.385, -2.070, 4.767], [-6.991, 6.363, 2.695]],
  "species": ["Na", "Ag", "Ag", "Ag", "Ag", "Ag", "Ag", "Ag", "Ag", "Pb", "Pb", "Pb"],
  "frac_coords": [[0.874, 0.874, 0.378], [0.938, 0.437, 0.188], [0.439, 0.938, 0.686], [0.437, 0.437, 0.188], [0.938, 0.938, 0.686], [0.188, 0.188, 0.437], [0.688, 0.688, 0.937], [0.437, 0.938, 0.188], [0.938, 0.439, 0.686], [0.375, 0.375, 0.876], [0.998, 0.998, 0.005], [0.502, 0.502, 0.495]],
  "vol_a3_per_cell": 262,
  "m_tot_mub_per_fu": 0.0,
  "space_group": "No. 160",
  "ef_mev_per_atom": 12
}



(2)
{
  "formula": "Na2AgPb",
  "functional": "PBE",
  "state": "optimized geometry",
  "lattice_angstrom": [[3.289, 0.000, 0.000], [0.000, 5.125, 0.000], [-1.644, 0.000, 12.107]],
  "species": ["Na", "Na", "Na", "Na", "Ag", "Ag", "Pb", "Pb"],
  "frac_coords": [[0.776, 0.250, 0.552], [0.224, 0.750, 0.448], [0.035, 0.250, 0.070], [0.965, 0.750, 0.930], [0.157, 0.250, 0.315], [0.843, 0.750, 0.685], [0.398, 0.250, 0.796], [0.602, 0.750, 0.204]],
  "vol_a3_per_cell": 204,
  "m_tot_mub_per_fu": 0.0,
  "space_group": "No. 63",
  "ef_mev_per_atom": -12
}



(3)
{
  "formula": "Na2AgPb",
  "functional": "PBE",
  "state": "optimized geometry",
  "lattice_angstrom": [[5.736, 0.000, 0.000], [0.000, 6.024, -1.737], [0.000, -0.115, 6.268]],
  "species": ["Na", "Na", "Na", "Na", "Ag", "Ag", "Pb", "Pb"],
  "frac_coords": [[0.750, 0.989, 0.373], [0.250, 0.011, 0.627], [0.250, 0.627, 0.011], [0.750, 0.373, 0.989], [0.500, 0.500, 0.500], [0.000, 0.500, 0.500], [0.250, 0.157, 0.157], [0.750, 0.843, 0.843]],
  "vol_a3_per_cell": 215,
  "m_tot_mub_per_fu": 0.0,
  "space_group": "No. 63",
  "ef_mev_per_atom": -97
}



(4)
{
  "formula": "NaAg2Pb",
  "functional": "PBE",
  "state": "optimized geometry",
  "lattice_angstrom": [[-1.611, 3.876, 1.088], [-2.594, -1.896, 2.913], [5.232, 2.019, 9.201]],
  "species": ["Pb", "Pb", "Na", "Na", "Ag", "Ag", "Ag", "Ag"],
  "frac_coords": [[0.000, 0.000, 0.000], [0.750, 0.250, 0.500], [0.500, 0.500, 0.000], [0.250, 0.750, 0.500], [0.633, 0.125, 0.250], [0.117, 0.625, 0.250], [0.375, 0.367, 0.750], [0.875, 0.883, 0.750]],
  "vol_a3_per_cell": 194,
  "m_tot_mub_per_fu": 0.0,
  "space_group": "No. 122",
  "ef_mev_per_atom": 184
}